An optimized crystal structure of TlAgPb2, computed with PBE.

a = 5.3865 Å, b = 5.3865 Å, c = 5.3865 Å
α = 60.00°, β = 60.00°, γ = 60.00°
Element x y z (fractional)
1 Tl 0.0000 0.0000 0.0000
2 Ag 0.2500 0.2500 0.2500
3 Pb 0.5000 0.5000 0.5000
4 Pb 0.7500 0.7500 0.7500

Summary:
Volume ... 27.6 Å³/atom
Electronic total energy ... -3.04 eV/atom

=====

An optimized crystal structure of ErZrAsO, computed with PBE.

a = 4.0346 Å, b = 4.0346 Å, c = 8.5794 Å
α = 90.00°, β = 90.00°, γ = 90.00°
Element x y z (fractional)
1 Er 0.2500 0.7500 0.0000
2 Er 0.7500 0.2500 0.0000
3 Zr 0.2500 0.2500 0.3769
4 Zr 0.7500 0.7500 0.6231
5 As 0.2500 0.2500 0.7669
6 As 0.7500 0.7500 0.2331
7 O 0.2500 0.7500 0.5000
8 O 0.7500 0.2500 0.5000

Summary:
Volume ... 17.5 Å³/atom
Electronic total energy ... -7.14 eV/atom

=====

An optimized crystal structure of NaGdZn, computed with PBE.

a = 4.9049 Å, b = 4.9049 Å, c = 4.9049 Å
α = 60.00°, β = 60.00°, γ = 60.00°
Element x y z (fractional)
1 Na 0.0000 0.0000 0.0000
2 Gd 0.5000 0.5000 0.5000
3 Zn 0.7500 0.7500 0.7500

Summary:
Volume ... 27.8 Å³/atom
Electronic total energy ... -2.19 eV/atom

=====

An optimized crystal structure of PrNdNO, computed with PBE.

a = 4.0154 Å, b = 6.9193 Å, c = 5.9209 Å
α = 90.00°, β = 90.00°, γ = 90.00°
Element x y z (fractional)
1 Pr 0.0000 0.1643 0.0000
2 Pr 0.0000 0.8357 0.5000
3 Nd 0.5000 0.3301 0.5035
4 Nd 0.5000 0.6699 0.0035
5 N 0.5000 0.3414 0.9057
6 N 0.5000 0.6586 0.4057
7 O 0.0000 0.1816 0.4028
8 O 0.0000 0.8184 0.9028

Summary:
Volume ... 20.6 Å³/atom
Electronic total energy ... -7.59 eV/atom

=====

An optimized crystal structure of Y3Mg3Zn2Hg, computed with PBE.

a = 7.6507 Å, b = 7.6507 Å, c = 4.1616 Å
α = 90.00°, β = 90.00°, γ = 120.00°
Element x y z (fractional)
1 Y 0.0000 0.4156 0.0000
2 Y 0.4156 0.0000 0.0000
3 Y 0.5844 0.5844 0.0000
4 Mg 0.0000 0.7447 0.5000
5 Mg 0.2553 0.2553 0.5000
6 Mg 0.7447 0.0000 0.5000
7 Zn 0.3333 0.6667 0.5000
8 Zn 0.6667 0.3333 0.5000
9 Hg 0.0000 0.0000 0.0000

Summary:
Volume ... 23.4 Å³/atom
Electronic total energy ... -3.32 eV/atom

=====

Question: What is the volume in the third record?
Answer: 27.8 Å³/atom

=====

Question: Which of these has the highest volume?
Answer: NaGdZn

=====

Question: Number 1 is which compound?
Answer: TlAgPb2

=====

Question: Number 3 is which compound?
Answer: NaGdZn